No. 1
# Li3CaPt2 PBE optimized geometry
# ρ, g cm⁻³: 7.180
# E_form, eV per atom: -0.539
data_Li3CaPt2
_cell_length_a 5.3296
_cell_length_b 5.3296
_cell_length_c 4.2405
_cell_angle_alpha 90.00
_cell_angle_beta 90.00
_cell_angle_gamma 120.00
_space_group_name_H-M_alt 'P 6/m m m'
_space_group_IT_number 191
_space_group_name_Hall '-P 6 2'
loop_
_atom_site_label
_atom_site_type_symbol
_atom_site_fract_x
_atom_site_fract_y
_atom_site_fract_z
Li1 Li 0.0000 0.5000 0.0000
Ca1 Ca 0.0000 0.0000 0.5000
Pt1 Pt 0.3333 0.6667 0.5000

No. 2
# Li2CaPt PBE optimized geometry
# ρ, g cm⁻³: 4.977
# E_form, eV per atom: -0.514
data_Li2CaPt
_cell_length_a 4.158
_cell_length_b 7.901
_cell_length_c 5.465
_cell_angle_alpha 90.00
_cell_angle_beta 112.27
_cell_angle_gamma 90.00
_space_group_name_H-M_alt 'P 1 21/m 1'
_space_group_IT_number 11
loop_
_space_group_symop_operation_xyz
'x,y,z'
'-x,-y,-z'
'-x,y+1/2,-z'
'x,-y+1/2,z'
loop_
_atom_site_label
_atom_site_type_symbol
_atom_site_fract_x
_atom_site_fract_y
_atom_site_fract_z
Li1 Li 0.167 0.060 0.334
Ca1 Ca 0.441 0.250 0.881
Pt1 Pt 0.269 0.750 0.536

No. 3
# Li2CaPt PBE optimized geometry
# ρ, g cm⁻³: 4.954
# E_form, eV per atom: -0.412
data_Li2CaPt
_cell_length_a 3.477
_cell_length_b 3.477
_cell_length_c 6.904
_cell_angle_alpha 90.00
_cell_angle_beta 90.00
_cell_angle_gamma 90.00
_space_group_name_H-M_alt 'P 4 m m'
_space_group_IT_number 99
loop_
_space_group_symop_operation_xyz
'x,y,z'
'-y,x,z'
'-x,-y,z'
'y,-x,z'
'-x,y,z'
'y,x,z'
'x,-y,z'
'-y,-x,z'
loop_
_atom_site_label
_atom_site_type_symbol
_atom_site_fract_x
_atom_site_fract_y
_atom_site_fract_z
Li1 Li 0.000 0.000 0.000
Li2 Li 0.500 0.500 0.212
Ca1 Ca 0.500 0.500 0.621
Pt1 Pt 0.000 0.000 0.382

No. 4
# LiCaPt PBE optimized geometry
# ρ, g cm⁻³: 6.695
# E_form, eV per atom: -0.532
data_LiCaPt
_cell_length_a 3.519
_cell_length_b 3.519
_cell_length_c 9.700
_cell_angle_alpha 90.00
_cell_angle_beta 90.00
_cell_angle_gamma 90.00
_space_group_name_H-M_alt 'I 4 m m'
_space_group_IT_number 107
_space_group_name_Hall 'I 4 -2'
loop_
_atom_site_label
_atom_site_type_symbol
_atom_site_fract_x
_atom_site_fract_y
_atom_site_fract_z
Li1 Li 0.000 0.000 0.000
Ca1 Ca 0.000 0.000 0.283
Pt1 Pt 0.000 0.000 0.609